# 1
This record from Alexandria describes an optimized crystal structure of TaRhBr2. The functional is PBE-GGA.

a b c (Å): 3.3225 3.3225 8.3836
angles (deg): 90.00 90.00 90.00
With the nearest neighbours (Å) after each atom.
Space group P4mm (No. 99)
Symmetry-distinct sites (fractional):
Ta  0.0000  0.0000  0.0000 x1  4 Rh 2.66, 1 Br 2.83
Rh  0.5000  0.5000  0.8523 x1  4 Ta 2.66, 4 Br 2.84
Br  0.0000  0.0000  0.6628 x1  1 Ta 2.83, 4 Rh 2.84
Br  0.5000  0.5000  0.2375 x1  4 Ta 3.08, 1 Rh 3.23, 4 Br 3.32

- E above lowest polymorph (eV per atom) = 0.252
- formation energy from raw total energies (kcal/mol of atoms) = -3.7
- calculated total energy (eV per atom) = -5.797

=====

# 2
This record from Alexandria describes an optimized crystal structure of TaRhBr2. The functional is PBE-GGA.

a b c (Å): 3.2712 3.2712 6.4962
angles (deg): 90.00 90.00 90.00
With the nearest neighbours (Å) after each atom.
Space group P4/mmm (No. 123)
Symmetry-distinct sites (fractional):
Ta  0.0000  0.0000  0.0000 x1  8 Br 2.80
Rh  0.0000  0.0000  0.5000 x1  8 Br 2.86
Br  0.5000  0.5000  0.2423 x2  4 Ta 2.80, 4 Rh 2.86

- E above lowest polymorph (eV per atom) = 0.928
- formation energy from raw total energies (kcal/mol of atoms) = 11.9
- calculated total energy (eV per atom) = -5.121

=====

# 3
This record from Alexandria describes an optimized crystal structure of TaRhBr3. The functional is PBE-GGA.

a b c (Å): 5.0139 5.0139 5.0139
angles (deg): 90.00 90.00 90.00
With the nearest neighbours (Å) after each atom.
Space group Pm-3m (No. 221)
Symmetry-distinct sites (fractional):
Ta  0.0000  0.0000  0.0000 x1  12 Br 3.55
Rh  0.5000  0.5000  0.5000 x1  6 Br 2.51
Br  0.0000  0.5000  0.5000 x3  2 Rh 2.51

- E above lowest polymorph (eV per atom) = 0.212
- formation energy from raw total energies (kcal/mol of atoms) = 21.1
- calculated total energy (eV per atom) = -3.931

=====

# 4
This record from Alexandria describes an optimized crystal structure of TaRh2Br2. The functional is PBE-GGA.

a b c (Å): 6.5669 6.5669 4.9891
angles (deg): 90.00 90.00 90.00
With the nearest neighbours (Å) after each atom.
Space group P4/mbm (No. 127)
Symmetry-distinct sites (fractional):
Ta  0.0000  0.0000  0.0000 x2  4 Rh 2.52
Rh  0.1438  0.3562  0.0000 x4  2 Ta 2.52, 2 Br 2.56, 1 Rh 2.67
Br  0.2046  0.2954  0.5000 x4  2 Rh 2.56

- E above lowest polymorph (eV per atom) = 0.000
- formation energy from raw total energies (kcal/mol of atoms) = 9.3
- calculated total energy (eV per atom) = -5.576